(1)
The following is a DFT calculation (GGA-PBE) of an optimized crystal structure of Hf2Zr4ScPa.

Density of states at the Fermi level (states/eV per cell): 23.9
Formation energy from the elements (eV/atom): 0.07
VASP energy (eV per atom): -8.672

Structure (POSCAR):
```
Hf2Zr4ScPa
1.0
1.8029 3.6976 -10.2578
3.5420 -5.2275 -1.2948
-7.6064 -2.9172 7.5634
Hf Zr Sc Pa
4 8 2 2
Direct
0.5000 0.5000 0.0000
0.5000 0.0000 0.5000
0.5000 0.0000 0.0000
0.0000 0.0000 0.5000
0.2519 0.7495 0.0020
0.7481 0.2505 0.9980
0.2514 0.2481 0.9948
0.7458 0.7537 0.4947
0.2500 0.7524 0.4999
0.7486 0.7519 0.0052
0.2542 0.2463 0.5053
0.7500 0.2476 0.5001
0.0000 0.0000 0.0000
0.5000 0.5000 0.5000
0.0000 0.5000 0.0000
0.0000 0.5000 0.5000
```

---

(2)
The following is a DFT calculation (GGA-PBE) of an optimized crystal structure of Hf4ZrScPa2.

Density of states at the Fermi level (states/eV per cell): 23.1
Formation energy from the elements (eV/atom): 0.53
VASP energy (eV per atom): -8.682

Structure (POSCAR):
```
Hf4ZrScPa2
1.0
8.4055 -0.0795 -1.7241
-0.0854 8.4055 -1.7241
-5.2077 -5.2113 7.6743
Pa Hf Sc Zr
4 8 2 2
Direct
0.5000 0.0000 0.0000
0.5000 0.0000 0.5000
0.5000 0.5000 0.0000
0.0000 0.0000 0.5000
0.7559 0.7436 0.0010
0.7564 0.7441 0.4990
0.2441 0.2564 0.9990
0.2436 0.2559 0.5010
0.7394 0.2503 0.4948
0.7503 0.2394 0.9948
0.2497 0.7606 0.0052
0.2606 0.7497 0.5052
0.5000 0.5000 0.5000
0.0000 0.0000 0.0000
0.0000 0.5000 0.5000
0.0000 0.5000 0.0000
```

---

(3)
The following is a DFT calculation (GGA-PBE) of an optimized crystal structure of HfPaSe2.

Density of states at the Fermi level (states/eV per cell): 3.3
Energy relative to the elements, uncorrected (eV/atom): -0.966
VASP energy (eV per atom): -7.571

Structure (POSCAR):
```
HfPaSe2
1.0
3.4717 0.0000 0.0000
0.0000 4.8414 0.0000
0.0000 0.0000 4.8414
Pa Se Hf
1 2 1
Direct
0.5000 0.5000 0.5000
0.0000 0.0000 0.5000
0.0000 0.5000 0.0000
0.5000 0.0000 0.0000
```